(1)
Below is a relaxed Ac6HoO12 crystal, with properties calculated at the PBE-GGA level.

For the total energy, the calculation gives -0.2835 Ha/atom. As for the total magnetization: 0.17 μB per atom. The calculated volume comes out at 1060.03 Å³ per cell.

The structure belongs to space group R-3 (No. 148, hexagonal axes); the cell edges are 10.9238, 10.9238 and 10.2574 Å and the angles 90.00°, 90.00° and 120.00°. The distinct sites, in fractional coordinates, are Ac at (0.0535, 0.7935, 0.1559), Ho at (0.0000, 0.0000, 0.5000), O at (0.0402, 0.8132, 0.9036) and O at (0.0412, 0.8378, 0.3962).



(2)
Below is a relaxed AcHoOsO6 crystal, with properties calculated at the PBE-GGA level.

For the total energy, the calculation gives -0.2873 Ha/atom. As for the total magnetization: 0.22 μB per atom. The calculated volume comes out at 260.07 Å³ per cell.

The structure belongs to space group P-31c (No. 163); the cell edges are 5.8087, 5.8087 and 8.9002 Å and the angles 90.00°, 90.00° and 120.00°. The distinct sites, in fractional coordinates, are Ac at (0.3333, 0.6667, 0.2500), Ho at (0.0000, 0.0000, 0.0000), Os at (0.3333, 0.6667, 0.7500) and O at (0.0724, 0.3756, 0.6262).



(3)
Below is a relaxed Ac2HoOsO8 crystal, with properties calculated at the PBE-GGA level.

For the total energy, the calculation gives -0.2839 Ha/atom. As for the total magnetization: 0.09 μB per atom. The calculated volume comes out at 192.20 Å³ per cell.

The structure belongs to space group P-1 (No. 2); the cell edges are 4.952, 5.465 and 7.112 Å and the angles 90.21°, 91.64° and 92.53°. The distinct sites, in fractional coordinates, are Ac at (0.071, 0.029, 0.256), Ho at (0.500, 0.500, 0.000), Os at (0.500, 0.500, 0.500), O at (0.177, 0.218, 0.974), O at (0.195, 0.305, 0.536), O at (0.332, 0.655, 0.282) and O at (0.389, 0.732, 0.698).



(4)
Below is a relaxed Ac2HoOs3O12 crystal, with properties calculated at the PBE-GGA level.

For the total energy, the calculation gives -0.2865 Ha/atom. As for the total magnetization: 0.10 μB per atom. The calculated volume comes out at 735.15 Å³ per cell.

The structure belongs to space group R-3m (No. 166, hexagonal axes); the cell edges are 7.2786, 7.2786 and 16.0233 Å and the angles 90.00°, 90.00° and 120.00°. The distinct sites, in fractional coordinates, are Ac at (0.0000, 0.0000, 0.1210), Ho at (0.0000, 0.0000, 0.5000), Os at (0.0000, 0.5000, 0.0000), O at (0.0363, 0.5181, 0.8785) and O at (0.0661, 0.5330, 0.3156).



(5)
Below is a relaxed Ac2HoPO8 crystal, with properties calculated at the PBE-GGA level.

For the total energy, the calculation gives -0.2650 Ha/atom. As for the total magnetization: 0.17 μB per atom. The calculated volume comes out at 162.83 Å³ per cell.

The structure belongs to space group P-3m1 (No. 164); the cell edges are 5.5501, 5.5501 and 6.1039 Å and the angles 90.00°, 90.00° and 120.00°. The distinct sites, in fractional coordinates, are Ac at (0.3333, 0.6667, 0.3581), Ho at (0.0000, 0.0000, 0.0000), P at (0.0000, 0.0000, 0.5000), O at (0.1444, 0.2887, 0.6698) and O at (0.3333, 0.6667, 0.0042).



(6)
Below is a relaxed AcHoPO6 crystal, with properties calculated at the PBE-GGA level.

For the total energy, the calculation gives -0.2745 Ha/atom. As for the total magnetization: 0.12 μB per atom. The calculated volume comes out at 127.67 Å³ per cell.

The structure belongs to space group P312 (No. 149); the cell edges are 5.3619, 5.3619 and 5.1275 Å and the angles 90.00°, 90.00° and 120.00°. The distinct sites, in fractional coordinates, are Ac at (0.0000, 0.0000, 0.0000), Ho at (0.3333, 0.6667, 0.5000), P at (0.6667, 0.3333, 0.5000) and O at (0.4043, 0.0691, 0.6956).